Compound: SnHgSbF2
Source: Alexandria via LeMat-Bulk
Functional: PBE
Structure: relaxed

Output
M_tot	0.00	μB per formula unit
space group	P4/mmm, No. 123
DOS at the Fermi energy	2.73	states/eV per cell
uncorrected energy	-3.64	eV/atom

```
5
Lattice="4.395 0.000 0.000 0.000 4.395 0.000 0.000 0.000 6.072" Properties=species:S:1:pos:R:3 pbc="T T T"
Sn 0.000 0.000 0.000
Hg 2.197 2.197 3.036
Sb 0.000 0.000 3.036
F 0.000 2.197 0.000
F 2.197 0.000 0.000
```

---

Compound: MnPOsCl2
Source: Alexandria via LeMat-Bulk
Functional: PBE
Structure: relaxed

Output
E above lowest polymorph	0.636	eV per atom
M_tot	3.31	μB per formula unit
space group	P4/mmm, No. 123
DOS at the Fermi energy	7.99	states/eV per cell
uncorrected energy	-4.68	eV/atom

```
5
Lattice="4.312 0.000 0.000 0.000 4.312 0.000 0.000 0.000 4.960" Properties=species:S:1:pos:R:3 pbc="T T T"
Mn 0.000 0.000 0.000
P 0.000 0.000 2.480
Os 2.156 2.156 2.480
Cl 0.000 2.156 0.000
Cl 2.156 0.000 0.000
```

---

Q: Look up the DOS at the Fermi energy of the second one.
A: 7.99 states/eV per cell